KNaLi2P | PBE | optimized geometry

a = 4.957 Å, b = 4.957 Å, c = 5.605 Å
α = 90.00°, β = 90.00°, γ = 90.00°
Fractional positions:
P (0.000, 0.000, 0.000)
K (0.500, 0.500, 0.500)
Li (0.000, 0.500, 0.000)
Li (0.500, 0.000, 0.000)
Na (0.000, 0.000, 0.500)

Summary:
SG: P4/mmm
DFT total energy (eV/cell): -12.93